The following is a PBE calculation of HoErTmCd after structural relaxation, from the Alexandria database.

Calculated values
Relative energy among the computed polymorphs = 122.1 meV/atom
SG = F-43m
V = 27.7 Å³/atom
E_form = -0.02 eV/atom
Calculated total energy = -14.6 eV/cell

Cell and atoms, written as POSCAR:
```
HoErTmCd
1.0
0.000 3.812 3.812
3.812 0.000 3.812
3.812 3.812 0.000
Ho Er Tm Cd
1 1 1 1
Direct
0.000 0.000 0.000
0.500 0.500 0.500
0.250 0.250 0.250
0.750 0.750 0.750
```